The following is a PBE-GGA calculation of a geometry-optimized Zn8RhAu2 structure, from Alexandria. Values from VASP.

The energy above the most stable polymorph in this dataset is 0.0 meV/atom. For the spin magnetization, the calculation gives 0.00 μB per cell. As for the symmetry: C2/m (12).

Geometry as Quantum ESPRESSO input:
```
&SYSTEM
  ibrav = 0, nat = 11, ntyp = 3
/
ATOMIC_SPECIES
Zn 65.41 Zn.upf
Rh 102.91 Rh.upf
Au 196.97 Au.upf
CELL_PARAMETERS angstrom
-2.101 -1.016 -3.725
4.085 -1.637 -1.858
-2.176 -6.464 5.585
ATOMIC_POSITIONS crystal
Zn 0.575 0.552 0.151
Zn 0.343 0.899 0.686
Zn 0.247 0.337 0.494
Zn 0.072 0.196 0.143
Zn 0.753 0.663 0.506
Zn 0.657 0.101 0.314
Zn 0.425 0.448 0.849
Zn 0.928 0.804 0.857
Rh 0.500 0.000 0.000
Au 0.169 0.776 0.338
Au 0.831 0.224 0.662
```